Here is a relaxed Pr2HoGa crystal from Alexandria via LeMat-Bulk. Energies are from PBE.

Calculated values
formation energy from the elements = -0.2197 eV per atom
VASP energy = -4.511 eV/atom
ρ = 7.143 g/cm³
ΔE to the lowest computed polymorph = 0.033 eV per atom

Geometry as CIF:
```
data_Pr2HoGa
_chemical_formula_sum 'Pr2 Ho1 Ga1'
_cell_length_a 3.6397
_cell_length_b 3.6397
_cell_length_c 9.0626
_cell_angle_alpha 90.00
_cell_angle_beta 90.00
_cell_angle_gamma 90.00
_symmetry_space_group_name_H-M 'P 4/m m m'
_symmetry_Int_Tables_number 123
_symmetry_space_group_name_Hall '-P 4 2'
loop_
_atom_site_label
_atom_site_fract_x
_atom_site_fract_y
_atom_site_fract_z
_atom_site_occupancy
Pr1 0.0000 0.0000 0.2128 1
Ho1 0.5000 0.5000 0.5000 1
Ga1 0.5000 0.5000 0.0000 1
```

Here is a relaxed MgIrF crystal from Alexandria via LeMat-Bulk. Energies are from PBE.

Calculated values
VASP energy = -5.723 eV/atom
ρ = 8.956 g/cm³
formation energy from raw total energies = -1.61 eV per atom
ΔE to the lowest computed polymorph = 0.058 eV per atom

Geometry as CIF:
```
data_MgIrF
_chemical_formula_sum 'Mg4 Ir4 F4'
_cell_length_a 14.2513
_cell_length_b 2.8447
_cell_length_c 4.3431
_cell_angle_alpha 90.00
_cell_angle_beta 97.22
_cell_angle_gamma 90.00
_symmetry_space_group_name_H-M 'C 1 m 1'
_symmetry_Int_Tables_number 8
_symmetry_space_group_name_Hall 'C -2y'
loop_
_atom_site_label
_atom_site_fract_x
_atom_site_fract_y
_atom_site_fract_z
_atom_site_occupancy
Mg1 0.0000 0.0000 0.0000 1
Mg2 0.1813 0.5000 0.5816 1
Ir1 0.3199 0.5000 0.1449 1
Ir2 0.3522 0.0000 0.6541 1
F1 0.0729 0.5000 0.2244 1
F2 0.1043 0.0000 0.7294 1
```

Here is a relaxed AcY3Cd2 crystal from Alexandria via LeMat-Bulk. Energies are from PBE.

Calculated values
formation energy from the elements = -0.2141 eV per atom
VASP energy = -4.436 eV/atom
ρ = 6.557 g/cm³

Geometry as CIF:
```
data_AcY3Cd2
_chemical_formula_sum 'Ac1 Y3 Cd2'
_cell_length_a 3.7652
_cell_length_b 3.7652
_cell_length_c 12.8355
_cell_angle_alpha 90.00
_cell_angle_beta 90.00
_cell_angle_gamma 90.00
_symmetry_space_group_name_H-M 'P 4/m m m'
_symmetry_Int_Tables_number 123
_symmetry_space_group_name_Hall '-P 4 2'
loop_
_atom_site_label
_atom_site_fract_x
_atom_site_fract_y
_atom_site_fract_z
_atom_site_occupancy
Ac1 0.0000 0.0000 0.0000 1
Y1 0.5000 0.5000 0.2097 1
Y2 0.5000 0.5000 0.5000 1
Cd1 0.0000 0.0000 0.3547 1
```